Model P:
Compound: AlV2Cl
Source: the Alexandria database
Functional: GGA-PBE
Structure: optimized geometry

Mass density in Mg/m³: 4.358
Calculated volume in Å³ per cell: 250

Cell lengths 3.7042, 3.7042, 18.2518 Å; angles 90.00, 90.00, 90.00 degrees
Closest atoms and distances in Å follow each position.
Space group I-42d (No. 122)
Unique sites:
Al (0.0000, 0.0000, 0.0000) x4  4 Cl 2.62, 4 V 2.64
V (0.2448, 0.2500, 0.6250) x8  4 V 2.59-2.65, 2 Cl 2.62, 2 Al 2.64
Cl (0.0000, 0.0000, 0.5000) x4  4 Al 2.62, 4 V 2.62



Model Q:
Compound: AlV2Cl
Source: the Alexandria database
Functional: GGA-PBE
Structure: optimized geometry

Mass density in Mg/m³: 4.572
Calculated volume in Å³ per cell: 239

Cell lengths 6.2032, 6.2032, 6.2032 Å; angles 90.00, 90.00, 90.00 degrees
Closest atoms and distances in Å follow each position.
Space group Fm-3m (No. 225)
Unique sites:
Al (0.0000, 0.0000, 0.0000) x4  8 V 2.69
V (0.2500, 0.2500, 0.2500) x8  4 Cl 2.69, 4 Al 2.69
Cl (0.0000, 0.0000, 0.5000) x4  8 V 2.69



Most stable = model P



Model P:
Compound: Al3VCl
Source: the Alexandria database
Functional: GGA-PBE
Structure: optimized geometry

Mass density in Mg/m³: 2.152
Calculated volume in Å³ per cell: 129

Cell lengths 5.0545, 5.0545, 5.0545 Å; angles 90.00, 90.00, 90.00 degrees
Closest atoms and distances in Å follow each position.
Space group Pm-3m (No. 221)
Unique sites:
Al (0.0000, 0.0000, 0.5000) x3  2 V 2.53
V (0.0000, 0.0000, 0.0000) x1  6 Al 2.53
Cl (0.5000, 0.5000, 0.5000) x1  12 Al 3.57



Model Q:
Compound: Al3VCl
Source: the Alexandria database
Functional: GGA-PBE
Structure: optimized geometry

Mass density in Mg/m³: 2.567
Calculated volume in Å³ per cell: 108

Cell lengths 4.7657, 4.7657, 4.7657 Å; angles 90.00, 90.00, 90.00 degrees
Closest atoms and distances in Å follow each position.
Space group Pm-3m (No. 221)
Unique sites:
Al (0.0000, 0.0000, 0.5000) x3  2 Cl 2.38
V (0.5000, 0.5000, 0.5000) x1  12 Al 3.37
Cl (0.0000, 0.0000, 0.0000) x1  6 Al 2.38



Most stable = model P



Model P:
Compound: Al2VCl8
Source: the Alexandria database
Functional: GGA-PBE
Structure: optimized geometry

Mass density in Mg/m³: 1.870
Calculated volume in Å³ per cell: 690

Cell lengths 12.3107, 9.4256, 5.9735 Å; angles 90.00, 95.37, 90.00 degrees
Closest atoms and distances in Å follow each position.
Space group C2/m (No. 12)
Unique sites:
Al (0.1847, 0.0000, 0.1425) x4  4 Cl 2.10-2.19
V (0.0000, 0.0000, 0.5000) x2  6 Cl 2.50-2.52
Cl (0.0935, 0.1769, 0.2729) x8  1 Al 2.19
Cl (0.1480, 0.5000, 0.7502) x4  1 Al 2.10
Cl (0.1689, 0.0000, 0.7741) x4  1 Al 2.19



Model Q:
Compound: Al2VCl8
Source: the Alexandria database
Functional: GGA-PBE
Structure: optimized geometry

Mass density in Mg/m³: 1.853
Calculated volume in Å³ per cell: 1393

Cell lengths 17.7867, 8.4952, 11.7140 Å; angles 90.00, 128.11, 90.00 degrees
Closest atoms and distances in Å follow each position.
Space group C2/c (No. 15)
Unique sites:
Al (0.0815, 0.2352, 0.0301) x8  4 Cl 2.10-2.20
V (0.0000, 0.0094, 0.7500) x4  6 Cl 2.50-2.52
Cl (0.0629, 0.2154, 0.6766) x8  1 Al 2.19
Cl (0.0793, 0.2090, 0.2139) x8  1 Al 2.19
Cl (0.1455, 0.0275, 0.0089) x8  1 Al 2.20
Cl (0.1503, 0.4478, 0.0539) x8  1 Al 2.10



Most stable = model Q



Model P:
Compound: AlWCl
Source: the Alexandria database
Functional: GGA-PBE
Structure: optimized geometry

Mass density in Mg/m³: 8.264
Calculated volume in Å³ per cell: 99

Cell lengths 2.7877, 3.9225, 9.0508 Å; angles 90.00, 90.00, 90.00 degrees
Closest atoms and distances in Å follow each position.
Space group Imm2 (No. 44)
Unique sites:
Al (0.0000, 0.0000, 0.0000) x2  5 Cl 2.70-3.02, 2 Al 2.79, 5 W 2.89-2.92
W (0.0000, 0.0000, 0.3224) x2  4 Cl 2.64, 2 W 2.79, 5 Al 2.89-2.92
Cl (0.0000, 0.0000, 0.7016) x2  4 W 2.64, 1 Al 2.70, 2 Cl 2.79



Model Q:
Compound: AlWCl
Source: the Alexandria database
Functional: GGA-PBE
Structure: optimized geometry

Mass density in Mg/m³: 6.944
Calculated volume in Å³ per cell: 59

Cell lengths 2.9206, 2.9206, 7.9725 Å; angles 90.00, 90.00, 120.00 degrees
Closest atoms and distances in Å follow each position.
Space group P3m1 (No. 156)
Unique sites:
Al (0.0000, 0.0000, 0.0000) x1  3 W 2.83, 6 Al 2.92
W (0.3333, 0.6667, 0.7150) x1  3 Cl 2.49
Cl (0.6667, 0.3333, 0.4847) x1  3 W 2.49



Model R:
Compound: AlWCl
Source: the Alexandria database
Functional: GGA-PBE
Structure: optimized geometry

Mass density in Mg/m³: 6.996
Calculated volume in Å³ per cell: 117

Cell lengths 2.8696, 2.8696, 14.1966 Å; angles 90.00, 90.00, 90.00 degrees
Closest atoms and distances in Å follow each position.
Space group I4mm (No. 107)
Unique sites:
Al (0.0000, 0.0000, 0.0000) x2  4 W 2.82, 4 Al 2.87
W (0.0000, 0.0000, 0.6375) x2  4 Cl 2.60, 4 Al 2.82, 4 W 2.87
Cl (0.0000, 0.0000, 0.2520) x2  4 W 2.60, 4 Cl 2.87



Model S:
Compound: AlWCl
Source: the Alexandria database
Functional: GGA-PBE
Structure: optimized geometry

Mass density in Mg/m³: 7.678
Calculated volume in Å³ per cell: 213

Cell lengths 5.9725, 5.9725, 5.9725 Å; angles 90.00, 90.00, 90.00 degrees
Closest atoms and distances in Å follow each position.
Space group F-43m (No. 216)
Unique sites:
Al (0.0000, 0.0000, 0.0000) x4  4 Cl 2.59
W (0.0000, 0.0000, 0.5000) x4  4 Cl 2.59
Cl (0.2500, 0.2500, 0.2500) x4  4 W 2.59, 4 Al 2.59



Most stable = model Q